No. 1
Here is Zr2MnRh after structural relaxation from the Alexandria database. Energies are from GGA-PBE.

Energy relative to the elements   -0.269 eV per formula unit

a = 8.2502 Å, b = 3.0715 Å, c = 5.8007 Å
α = 90.00°, β = 98.42°, γ = 90.00°
Closest atoms and distances in Å follow each position.
Space group C2/m (No. 12)
Asymmetric unit:
Zr: 0.2490 0.0000 0.2423 x4  3 Mn 2.67-2.78, 3 Rh 2.71-2.82
Mn: 0.0000 0.5000 0.0000 x2  6 Zr 2.67-2.78
Rh: 0.0000 0.0000 0.5000 x2  6 Zr 2.71-2.82

No. 2
Here is Zr2MnRh after structural relaxation from the Alexandria database. Energies are from GGA-PBE.

Energy relative to the elements   -1.896 eV per formula unit

a = 3.2418 Å, b = 3.2418 Å, c = 6.4799 Å
α = 90.00°, β = 90.00°, γ = 90.00°
Closest atoms and distances in Å follow each position.
Space group P4/mmm (No. 123)
Asymmetric unit:
Zr: 0.0000 0.0000 0.2394 x2  4 Mn 2.77, 4 Rh 2.85
Mn: 0.5000 0.5000 0.0000 x1  8 Zr 2.77
Rh: 0.5000 0.5000 0.5000 x1  8 Zr 2.85

No. 3
Here is Zr2MnRh after structural relaxation from the Alexandria database. Energies are from GGA-PBE.

Energy relative to the elements   -0.751 eV per formula unit

a = 6.5302 Å, b = 6.5302 Å, c = 6.5302 Å
α = 90.00°, β = 90.00°, γ = 90.00°
Closest atoms and distances in Å follow each position.
Space group F-43m (No. 216)
Asymmetric unit:
Zr: 0.0000 0.0000 0.0000 x4  4 Zr 2.83, 4 Mn 2.83
Zr: 0.2500 0.2500 0.2500 x4  4 Zr 2.83, 4 Rh 2.83
Mn: 0.2500 0.2500 0.7500 x4  4 Zr 2.83, 4 Rh 2.83
Rh: 0.0000 0.0000 0.5000 x4  4 Zr 2.83, 4 Mn 2.83